No. 1
A relaxed Ta2NiHPd crystal. Source: the Alexandria database, functional PBE.

The space group is P4/mmm (No. 123) and the conventional cell measures 4.022, 4.022 and 4.006 Å, with angles of 90.00, 90.00 and 90.00 degrees. The distinct sites, in fractional coordinates, are Ta at (0.000, 0.500, 0.000), Ni at (0.000, 0.000, 0.500), H at (0.500, 0.500, 0.000) and Pd at (0.500, 0.500, 0.500).

As for the final energy: -7.724 eV/atom.

=====

No. 2
A relaxed Ta2NiHPd crystal. Source: the Alexandria database, functional PBE.

The space group is P4/mmm (No. 123) and the conventional cell measures 4.052, 4.052 and 3.911 Å, with angles of 90.00, 90.00 and 90.00 degrees. The distinct sites, in fractional coordinates, are Ta at (0.000, 0.500, 0.000), Ni at (0.000, 0.000, 0.500), H at (0.000, 0.000, 0.000) and Pd at (0.500, 0.500, 0.500).

As for the final energy: -7.783 eV/atom.

=====

Spin magnetization for every record listed, in sequence, given in μB per formula unit: 0.0 0.0.